First-principles (PBE-GGA) data for a relaxed structure of Zr3H12Ru5, as listed in Alexandria.

```
80
Lattice="-8.607 -0.884 -4.287 6.121 -6.488 -3.700 -0.958 -1.523 9.487" Properties=species:S:1:pos:R:3 pbc="T T T"
Zr -4.280 -3.287 -3.417
Zr -3.061 -5.830 -5.340
Zr 0.764 -6.150 1.547
Zr -1.746 -1.603 2.023
Zr -7.006 -1.965 -1.842
Zr 0.358 -4.768 -1.548
Zr -3.803 -4.128 3.048
Zr 3.561 -6.930 3.342
Zr -1.699 -7.292 -0.523
Zr -4.209 -2.746 -0.047
Zr -0.384 -3.065 6.841
Zr 0.835 -5.609 4.917
Ru 0.980 -2.924 0.448
Ru 3.060 -3.244 -1.850
Ru 0.000 0.000 0.000
Ru -1.817 -2.144 -1.347
Ru -4.783 -1.204 2.600
Ru -1.243 -3.686 -3.994
Ru 3.155 -5.548 0.247
Ru -6.529 -2.807 4.623
Ru -2.989 -5.289 -1.970
Ru -3.181 -2.285 5.045
Ru -0.264 -6.611 -3.545
Ru -1.722 -4.448 0.750
Ru -4.304 -0.442 -2.144
Ru -0.479 -0.762 4.744
Ru -0.455 -3.606 3.470
Ru 3.084 -6.089 -3.123
Ru 2.581 -4.006 2.894
Ru -6.600 -3.348 1.253
Ru -1.627 -6.752 2.847
Ru -4.425 -5.971 1.052
H -5.398 -1.451 -3.132
H 0.054 -4.403 0.567
H -6.244 -3.771 -2.770
H -3.456 -2.002 -1.939
H -1.381 -6.135 1.229
H -4.895 -4.895 -4.661
H 1.630 -6.058 -0.439
H 4.751 -6.166 -2.599
H 0.241 -7.793 0.307
H -2.651 -4.708 -3.584
H -4.346 -4.292 -1.497
H -1.551 -6.738 -6.604
H 2.795 -5.513 1.958
H -0.813 -3.179 -2.335
H 4.484 -6.610 -0.157
H -3.370 -2.022 3.327
H 0.087 -1.508 0.954
H 0.037 -4.894 -3.689
H -1.833 -7.090 -4.149
H 1.415 -2.899 -1.245
H 1.860 -7.799 2.317
H -1.623 -5.156 -0.887
H -3.338 -7.002 -1.912
H -5.684 -4.219 4.032
H -1.822 -3.739 2.387
H -0.107 -1.893 3.412
H 2.239 -4.676 -2.532
H -1.611 -1.806 5.649
H -5.304 -1.097 -0.816
H -4.860 -5.997 2.745
H -3.482 -4.002 5.189
H -0.074 -6.874 -1.827
H -3.532 -7.387 0.546
H -7.929 -2.285 1.658
H -6.240 -3.383 -0.458
H -1.894 -2.157 8.104
H -2.632 -5.716 3.835
H -3.686 -1.103 1.194
H -0.794 -4.188 5.084
H 0.901 -4.604 2.997
H -8.195 -2.730 4.099
H -5.074 -2.838 1.939
H 0.012 -6.894 3.439
H 1.450 -4.001 6.161
H -2.064 -2.761 0.271
H 2.799 -5.124 4.270
H -3.499 -4.492 0.933
H 1.953 -7.445 4.632
```

Computed properties:
total energy = -5.77 eV per atom

---

First-principles (PBE-GGA) data for a relaxed structure of H3S2, as listed in Alexandria.

```
10
Lattice="5.414 0.000 0.000 2.707 4.688 -0.068 2.707 1.333 6.304" Properties=species:S:1:pos:R:3 pbc="T T T"
H 5.254 4.862 4.804
H 7.962 4.170 4.550
H 7.041 2.172 4.711
H 3.787 3.849 1.525
H 2.867 1.852 1.686
H 5.574 1.159 1.432
S 9.753 5.501 5.593
S 7.046 3.531 3.761
S 3.782 2.490 2.475
S 1.075 0.520 0.643
```

Computed properties:
energy above the most stable polymorph in this dataset = 225 meV/atom
total energy = -3.57 eV per atom

---

First-principles (PBE-GGA) data for a relaxed structure of H3S2, as listed in Alexandria.

```
10
Lattice="-5.385 -4.987 -2.909 0.190 -4.266 -14.020 4.297 4.401 12.182" Properties=species:S:1:pos:R:3 pbc="T T T"
H -4.475 -7.070 -11.339
H -0.909 -0.746 3.635
H 2.034 -1.461 -3.868
H 2.229 0.407 0.781
H 0.064 -2.984 -1.911
H -2.778 -2.560 2.255
S -1.002 -4.787 -11.697
S 0.953 -0.903 -3.248
S 1.713 1.401 5.112
S -0.270 -2.582 -3.180
```

Computed properties:
energy above the most stable polymorph in this dataset = 0 meV/atom
total energy = -3.80 eV per atom

---

First-principles (PBE-GGA) data for a relaxed structure of HS2, as listed in Alexandria.

```
6
Lattice="5.119 -0.706 0.814 -3.080 4.149 -0.814 -0.618 -1.960 6.464" Properties=species:S:1:pos:R:3 pbc="T T T"
H -0.778 0.336 4.644
H 2.199 1.148 1.820
S -2.027 0.956 5.530
S 3.449 0.528 0.934
S 0.366 -0.461 3.759
S 1.056 1.945 2.705
```

Computed properties:
total energy = -3.71 eV per atom

---

First-principles (PBE-GGA) data for a relaxed structure of HS3, as listed in Alexandria.

```
4
Lattice="3.026 0.000 0.000 0.000 4.978 0.000 -1.513 -2.489 4.971" Properties=species:S:1:pos:R:3 pbc="T T T"
H 0.000 4.746 0.000
S 0.000 1.650 3.513
S 1.513 2.739 0.000
S 1.513 4.138 1.459
```

Computed properties:
energy above the most stable polymorph in this dataset = 500 meV/atom
total energy = -3.30 eV per atom

---

First-principles (PBE-GGA) data for a relaxed structure of HS3, as listed in Alexandria.

```
8
Lattice="-2.665 8.868 6.628 -2.746 4.175 2.436 -3.486 -6.763 7.598" Properties=species:S:1:pos:R:3 pbc="T T T"
H -1.964 1.663 4.373
H -6.932 4.617 12.289
S -5.295 9.815 10.058
S -3.602 -3.535 6.604
S -1.878 2.607 1.883
S -7.018 3.674 14.779
S -5.475 6.668 11.415
S -3.422 -0.388 5.247
```

Computed properties:
energy above the most stable polymorph in this dataset = 0 meV/atom
total energy = -3.80 eV per atom